An optimized crystal structure of ErPu2H, computed with PBE.

Cell: 3.1848 3.1848 8.4855 Å, 90.00 90.00 90.00°
Atoms (fractional coordinates):
H (0.5000, 0.5000, 0.0000)
Er (0.5000, 0.5000, 0.5000)
Pu (0.0000, 0.0000, 0.8236)
Pu (0.0000, 0.0000, 0.1764)

Computed properties:
- magnetic moment (μB per atom) = 2.96
- E above lowest polymorph (eV/atom) = 0.0000
- N(E_F) (states/eV/cell) = 11.3
- crystal system = tetragonal

---

An optimized crystal structure of CsSbSe4, computed with PBE.

Cell: 6.9264 7.8004 8.7907 Å, 115.63 110.72 93.96°
Atoms (fractional coordinates):
Cs (0.8410, 0.7608, 0.0070)
Cs (0.1590, 0.2392, 0.9930)
Sb (0.5000, 0.0000, 0.5000)
Sb (0.0000, 0.5000, 0.5000)
Se (0.5893, 0.0772, 0.8687)
Se (0.7326, 0.4053, 0.1244)
Se (0.4107, 0.9228, 0.1313)
Se (0.2674, 0.5947, 0.8756)
Se (0.8788, 0.8597, 0.4798)
Se (0.3959, 0.6299, 0.4794)
Se (0.1212, 0.1403, 0.5202)
Se (0.6041, 0.3701, 0.5206)

Computed properties:
- formation energy without anion corrections (eV/atom) = -0.355
- magnetic moment (μB per atom) = 0.00
- N(E_F) (states/eV/cell) = 5.5
- crystal system = triclinic